No. 1
Density functional theory data (GGA-PBE) for a relaxed CaSmB12 crystal.

Lattice parameters (Å, degrees): 5.8415 5.8415 5.8415 60.00 60.00 60.00
Fractional coordinates of all 14 atoms:
Ca (0.5000, 0.5000, 0.5000)
Sm (0.0000, 0.0000, 0.0000)
B (0.8999, 0.8999, 0.6001)
B (0.3999, 0.3999, 0.1001)
B (0.6001, 0.8999, 0.6001)
B (0.1001, 0.3999, 0.1001)
B (0.8999, 0.6001, 0.6001)
B (0.3999, 0.1001, 0.1001)
B (0.8999, 0.6001, 0.8999)
B (0.3999, 0.1001, 0.3999)
B (0.6001, 0.8999, 0.8999)
B (0.1001, 0.3999, 0.3999)
B (0.6001, 0.6001, 0.8999)
B (0.1001, 0.1001, 0.3999)

Values from the calculation:
Energy above the lowest structure with this stoichiometry (eV per atom): 0.0026
ΔE_f (eV/atom): -0.438
Mass density (g/cm³): 3.77
Energy (eV per cell): -93.0
Symmetry: No. 225

---

No. 2
Density functional theory data (GGA-PBE) for a relaxed CaTiPS2 crystal.

Lattice parameters (Å, degrees): 4.7409 4.7409 4.7557 90.00 90.00 90.00
Fractional coordinates of all 5 atoms:
P (0.0000, 0.0000, 0.5000)
Ca (0.5000, 0.5000, 0.5000)
S (0.0000, 0.5000, 0.0000)
S (0.5000, 0.0000, 0.0000)
Ti (0.0000, 0.0000, 0.0000)

Values from the calculation:
Energy above the lowest structure with this stoichiometry (eV per atom): 0.0000
Mass density (g/cm³): 2.84
Energy (eV per cell): -28.5
Symmetry: No. 123

---

No. 3
Density functional theory data (GGA-PBE) for a relaxed Nd3SmBi2 crystal.

Lattice parameters (Å, degrees): 7.2619 8.0078 9.2779 115.57 113.04 90.00
Last column: magnetic moment on the atom in μB.
Fractional coordinates of all 12 atoms:
Nd (0.5000, 0.2500, 0.0000)  0.01
Nd (0.5000, 0.7500, 0.0000)  0.01
Nd (0.7984, 0.0484, 0.5968)  0.03
Nd (0.2016, 0.4516, 0.4032)  0.03
Nd (0.2016, 0.9516, 0.4032)  0.03
Nd (0.7984, 0.5484, 0.5968)  0.03
Sm (0.0000, 0.5000, 0.0000)  0.08
Sm (0.0000, 0.0000, 0.0000)  0.08
Bi (0.5166, 0.3519, 0.7038)  0.00
Bi (0.8128, 0.1481, 0.2962)  0.00
Bi (0.1872, 0.8519, 0.7038)  0.00
Bi (0.4834, 0.6481, 0.2962)  0.00

Values from the calculation:
Energy above the lowest structure with this stoichiometry (eV per atom): 0.2281
ΔE_f (eV/atom): -0.426
Mass density (g/cm³): 7.58
Energy (eV per cell): -58.7
Symmetry: No. 72

---

No. 4
Density functional theory data (GGA-PBE) for a relaxed LiH2Os crystal.

Lattice parameters (Å, degrees): 4.6875 4.6875 4.5077 58.67 58.67 90.00
Fractional coordinates of all 8 atoms:
H (0.6441, 0.1250, 0.2500)
H (0.1059, 0.6250, 0.2500)
H (0.3750, 0.3559, 0.7500)
H (0.8750, 0.8941, 0.7500)
Os (0.0000, 0.0000, 0.0000)
Os (0.7500, 0.2500, 0.5000)
Li (0.5000, 0.5000, 0.0000)
Li (0.2500, 0.7500, 0.5000)

Values from the calculation:
Energy above the lowest structure with this stoichiometry (eV per atom): 0.0000
Mass density (g/cm³): 9.85
Energy (eV per cell): -38.4
Symmetry: No. 122

---

No. 5
Density functional theory data (GGA-PBE) for a relaxed TcAg2HgF8 crystal.

Lattice parameters (Å, degrees): 5.1829 5.3168 7.4903 90.00 90.00 92.90
Last column: magnetic moment on the atom in μB.
Fractional coordinates of all 12 atoms:
Tc (0.0000, 0.0000, 0.0000)  2.42
Ag (0.5000, 0.5000, 0.7550)  0.01
Ag (0.5000, 0.5000, 0.2450)  0.01
Hg (0.0000, 0.0000, 0.5000)  0.01
F (0.1699, 0.8179, 0.1941)  0.06
F (0.7160, 0.7392, 0.0000)  0.06
F (0.8301, 0.1821, 0.1940)  0.06
F (0.8301, 0.1821, 0.8059)  0.06
F (0.2840, 0.2608, 0.0000)  0.06
F (0.1699, 0.8179, 0.8060)  0.06
F (0.7057, 0.7180, 0.5000)  0.01
F (0.2943, 0.2820, 0.5000)  0.01

Values from the calculation:
Mass density (g/cm³): 5.37
Energy (eV per cell): -50.6
Symmetry: No. 10

---

No. 6
Density functional theory data (GGA-PBE) for a relaxed YSnI3 crystal.

Lattice parameters (Å, degrees): 6.0214 6.0214 6.0214 90.00 90.00 90.00
Last column: magnetic moment on the atom in μB.
Fractional coordinates of all 5 atoms:
I (0.0000, 0.5000, 0.0000)  0.01
I (0.0000, 0.0000, 0.5000)  0.02
I (0.5000, 0.0000, 0.0000)  0.01
Y (0.0000, 0.0000, 0.0000)  0.11
Sn (0.5000, 0.5000, 0.5000)  0.65

Values from the calculation:
Energy above the lowest structure with this stoichiometry (eV per atom): 0.0000
Mass density (g/cm³): 4.47
Energy (eV per cell): -17.5
Symmetry: No. 221

---

No. 7
Density functional theory data (GGA-PBE) for a relaxed CeUOsRu crystal.

Lattice parameters (Å, degrees): 4.8345 4.8345 4.8345 60.00 60.00 60.00
Last column: magnetic moment on the atom in μB.
Fractional coordinates of all 4 atoms:
Os (0.2500, 0.2500, 0.2500)  -0.19
U (0.0000, 0.0000, 0.0000)  1.81
Ce (0.5000, 0.5000, 0.5000)  0.34
Ru (0.7500, 0.7500, 0.7500)  -0.24

Values from the calculation:
ΔE_f (eV/atom): -0.090
Mass density (g/cm³): 13.91
Energy (eV per cell): -38.1
Symmetry: No. 216

---

No. 8
Density functional theory data (GGA-PBE) for a relaxed Pr12NdIn6 crystal.

Lattice parameters (Å, degrees): 8.4676 8.4676 8.4676 89.25 89.25 89.25
Fractional coordinates of all 19 atoms:
Pr (0.8090, 0.5275, 0.4321)
Pr (0.4321, 0.8090, 0.5275)
Pr (0.5275, 0.4321, 0.8090)
Pr (0.1910, 0.4725, 0.5679)
Pr (0.5679, 0.1910, 0.4725)
Pr (0.4725, 0.5679, 0.1910)
Pr (0.0728, 0.1256, 0.3851)
Pr (0.8744, 0.6149, 0.9272)
Pr (0.6149, 0.9272, 0.8744)
Pr (0.9272, 0.8744, 0.6149)
Pr (0.1256, 0.3851, 0.0728)
Pr (0.3851, 0.0728, 0.1256)
Nd (0.0000, 0.0000, 0.0000)
In (0.7258, 0.8789, 0.2584)
In (0.7416, 0.2742, 0.1211)
In (0.1211, 0.7416, 0.2742)
In (0.2742, 0.1211, 0.7416)
In (0.2584, 0.7258, 0.8789)
In (0.8789, 0.2584, 0.7258)

Values from the calculation:
ΔE_f (eV/atom): -0.237
Mass density (g/cm³): 6.91
Energy (eV per cell): -83.1
Symmetry: No. 148

---

No. 9
Density functional theory data (GGA-PBE) for a relaxed Ho2Ge4Pd3 crystal.

Lattice parameters (Å, degrees): 5.8048 7.5135 8.0574 90.00 111.11 90.00
Fractional coordinates of all 18 atoms:
Ho (0.1080, 0.5891, 0.2160)
Ho (0.8920, 0.4109, 0.7840)
Ho (0.3920, 0.0891, 0.7840)
Ho (0.6080, 0.9109, 0.2160)
Ge (0.6922, 0.7500, 0.8845)
Ge (0.8078, 0.2500, 0.1155)
Ge (0.3078, 0.2500, 0.1155)
Ge (0.1922, 0.7500, 0.8845)
Ge (0.1795, 0.9711, 0.3591)
Ge (0.8205, 0.0289, 0.6409)
Ge (0.3205, 0.4711, 0.6409)
Ge (0.6795, 0.5289, 0.3591)
Pd (0.0000, 0.0000, 0.0000)
Pd (0.5000, 0.5000, 0.0000)
Pd (0.5231, 0.7500, 0.5462)
Pd (0.9769, 0.2500, 0.4538)
Pd (0.4769, 0.2500, 0.4538)
Pd (0.0231, 0.7500, 0.5462)

Values from the calculation:
ΔE_f (eV/atom): -0.740
Mass density (g/cm³): 9.52
Energy (eV per cell): -99.7
Symmetry: No. 64

---

No. 10
Density functional theory data (GGA-PBE) for a relaxed MnBW3 crystal.

Lattice parameters (Å, degrees): 4.1455 4.1455 4.1455 90.00 90.00 90.00
Fractional coordinates of all 5 atoms:
B (0.0000, 0.0000, 0.0000)
Mn (0.5000, 0.5000, 0.5000)
W (0.0000, 0.5000, 0.0000)
W (0.0000, 0.0000, 0.5000)
W (0.5000, 0.0000, 0.0000)

Values from the calculation:
Energy above the lowest structure with this stoichiometry (eV per atom): 0.0000
ΔE_f (eV/atom): 0.482
Mass density (g/cm³): 14.39
Energy (eV per cell): -52.3
Symmetry: No. 221

---

No. 11
Density functional theory data (GGA-PBE) for a relaxed LiEuYCu crystal.

Lattice parameters (Å, degrees): 5.1648 5.1648 5.1648 60.00 60.00 60.00
Last column: magnetic moment on the atom in μB.
Fractional coordinates of all 4 atoms:
Eu (0.0000, 0.0000, 0.0000)  6.82
Y (0.5000, 0.5000, 0.5000)  0.04
Cu (0.2500, 0.2500, 0.2500)  0.01
Li (0.7500, 0.7500, 0.7500)  0.02

Values from the calculation:
ΔE_f (eV/atom): 0.024
Mass density (g/cm³): 5.31
Energy (eV per cell): -22.7
Symmetry: No. 216

---

No. 12
Density functional theory data (GGA-PBE) for a relaxed DyPaZnIr crystal.

Lattice parameters (Å, degrees): 4.9442 4.9442 4.9442 60.00 60.00 60.00
Fractional coordinates of all 4 atoms:
Zn (0.0000, 0.0000, 0.0000)
Pa (0.7500, 0.7500, 0.7500)
Dy (0.2500, 0.2500, 0.2500)
Ir (0.5000, 0.5000, 0.5000)

Values from the calculation:
ΔE_f (eV/atom): -0.384
Mass density (g/cm³): 12.65
Energy (eV per cell): -25.8
Symmetry: No. 216